{"formula": "CrCoRu2O", "functional": "PBE with a Hubbard U", "state": "relaxed", "lattice_angstrom": [[4.6975, 0.0000, 0.0000], [0.0000, 4.6975, 0.0000], [0.0000, 0.0000, 3.3587]], "species": ["Cr", "Co", "Ru", "Ru", "O"], "frac_coords": [[0.0000, 0.0000, 0.0000], [0.5000, 0.5000, 0.5000], [0.0000, 0.5000, 0.5000], [0.5000, 0.0000, 0.5000], [0.5000, 0.5000, 0.0000]], "e_tot_ev_per_atom": -5.88}